P:
Material: ZrCuTcMo
Method: DFT, GGA-PBE
State: optimized geometry

Cell and atoms, written as POSCAR:
```
ZrCuTcMo
1.0
-4.1101 -1.7076 0.4573
-2.1428 0.3441 3.9125
-3.5253 2.7276 0.3876
Cu Mo Tc Zr
1 1 1 1
direct
0.7500 0.7500 0.7500
0.2500 0.2500 0.2500
0.5000 0.5000 0.5000
0.0000 0.0000 0.0000
```

## Properties
The space group is F-43m, No. 216. For the density, the calculation gives 9.143 Mg/m³. For the spin magnetization, the calculation gives 0.002 μB per formula unit.


Q:
Material: ZrCuTcMo
Method: DFT, GGA-PBE
State: optimized geometry

Cell and atoms, written as POSCAR:
```
ZrCuTcMo
1.0
-3.5118 0.4473 2.7705
-1.8622 4.0421 0.6339
-4.0806 0.8813 -1.6676
Cu Mo Tc Zr
1 1 1 1
direct
0.7500 0.7500 0.7500
0.5000 0.5000 0.5000
0.2500 0.2500 0.2500
0.0000 0.0000 0.0000
```

## Properties
The space group is F-43m, No. 216. For the density, the calculation gives 9.014 Mg/m³. For the spin magnetization, the calculation gives 0.000 μB per formula unit.


The most stable arrangement is Q, and the next structure is 26 meV per atom less stable.


P:
Material: CuW2N
Method: DFT, GGA-PBE
State: optimized geometry

Cell and atoms, written as POSCAR:
```
CuW2N
1.0
4.2852 -2.4782 0.0000
4.2852 2.4782 0.0000
-2.8610 0.0000 14.0509
Cu N W
6 6 12
direct
0.0451 0.5811 0.2498
0.7917 0.2083 0.2500
0.4189 0.9549 0.2502
0.5811 0.0451 0.7498
0.2083 0.7917 0.7500
0.9549 0.4189 0.7502
0.6564 0.1873 0.0000
0.0000 0.5000 0.0000
0.3436 0.8127 0.0000
0.1873 0.6564 0.5000
0.5000 0.0000 0.5000
0.8127 0.3436 0.5000
0.0350 0.1966 0.0967
0.6998 0.8666 0.0968
0.3690 0.5347 0.1056
0.4653 0.6310 0.3944
0.1334 0.3002 0.4032
0.8035 0.9650 0.4033
0.1965 0.0350 0.5967
0.8666 0.6998 0.5968
0.5347 0.3690 0.6056
0.6310 0.4653 0.8944
0.3002 0.1334 0.9032
0.9650 0.8034 0.9033
```

## Properties
The space group is C2/c, No. 15. For the density, the calculation gives 14.864 Mg/m³. For the spin magnetization, the calculation gives 0.000 μB per formula unit.


Q:
Material: CuW2N
Method: DFT, GGA-PBE
State: optimized geometry

Cell and atoms, written as POSCAR:
```
CuW2N
1.0
-2.0412 0.8416 -1.7293
0.3668 -2.7330 0.5111
-9.2685 0.8826 11.3702
Cu N W
2 2 4
direct
0.6667 0.3333 0.2500
0.3333 0.6667 0.7500
0.0000 0.0000 0.0000
0.0000 0.0000 0.5000
0.3333 0.6667 0.0992
0.3333 0.6667 0.4008
0.6667 0.3333 0.5992
0.6667 0.3333 0.9008
```

## Properties
The space group is P6_3/mmc, No. 194. For the density, the calculation gives 14.772 Mg/m³. For the spin magnetization, the calculation gives 0.000 μB per formula unit.


The most stable arrangement is P, and the next structure is 54 meV per atom less stable.


P:
Material: NaCuNiTe
Method: DFT, GGA-PBE
State: optimized geometry

Cell and atoms, written as POSCAR:
```
NaCuNiTe
1.0
0.0000 3.2176 3.2176
3.2176 0.0000 3.2176
3.2176 3.2176 0.0000
Cu Na Ni Te
1 1 1 1
direct
0.0000 0.0000 0.0000
0.7500 0.7500 0.7500
0.5000 0.5000 0.5000
0.2500 0.2500 0.2500
```

## Properties
The space group is F-43m, No. 216. For the density, the calculation gives 6.800 Mg/m³. For the spin magnetization, the calculation gives 0.008 μB per formula unit.


Q:
Material: NaCuNiTe
Method: DFT, GGA-PBE
State: optimized geometry

Cell and atoms, written as POSCAR:
```
NaCuNiTe
1.0
0.0000 3.2859 3.2859
3.2859 0.0000 3.2859
3.2859 3.2859 0.0000
Cu Na Ni Te
1 1 1 1
direct
0.7500 0.7500 0.7500
0.2500 0.2500 0.2500
0.5000 0.5000 0.5000
0.0000 0.0000 0.0000
```

## Properties
The space group is F-43m, No. 216. For the density, the calculation gives 6.385 Mg/m³. For the spin magnetization, the calculation gives 0.243 μB per formula unit.


The most stable arrangement is P, and the next structure is 165 meV per atom less stable.


P:
Material: NaCuOs
Method: DFT, GGA-PBE
State: optimized geometry

Cell and atoms, written as POSCAR:
```
NaCuOs
1.0
0.0000 2.9917 2.9917
2.9917 0.0000 2.9917
2.9917 2.9917 0.0000
Cu Na Os
1 1 1
direct
0.0000 0.0000 0.0000
0.2500 0.2500 0.2500
0.7500 0.7500 0.7500
```

## Properties
The space group is F-43m, No. 216. For the density, the calculation gives 8.581 Mg/m³. For the spin magnetization, the calculation gives 2.060 μB per formula unit.


Q:
Material: NaCuOs
Method: DFT, GGA-PBE
State: optimized geometry

Cell and atoms, written as POSCAR:
```
NaCuOs
1.0
-1.9828 -2.6853 -2.6772
-4.0872 0.6765 -1.0710
-0.9906 1.2735 -3.9632
Cu Na Os
1 1 1
direct
0.2500 0.2500 0.2500
0.0000 0.0000 0.0000
0.7500 0.7500 0.7500
```

## Properties
The space group is F-43m, No. 216. For the density, the calculation gives 8.296 Mg/m³. For the spin magnetization, the calculation gives 2.266 μB per formula unit.


The most stable arrangement is P, and the next structure is 648 meV per atom less stable.


P:
Material: NaCuPdW
Method: DFT, GGA-PBE
State: optimized geometry

Cell and atoms, written as POSCAR:
```
NaCuPdW
1.0
0.0000 3.1394 3.1394
3.1394 0.0000 3.1394
3.1394 3.1394 0.0000
Cu Na Pd W
1 1 1 1
direct
0.7500 0.7500 0.7500
0.5000 0.5000 0.5000
0.2500 0.2500 0.2500
0.0000 0.0000 0.0000
```

## Properties
The space group is F-43m, No. 216. For the density, the calculation gives 10.111 Mg/m³. For the spin magnetization, the calculation gives 0.002 μB per formula unit.


Q:
Material: NaCuPdW
Method: DFT, GGA-PBE
State: optimized geometry

Cell and atoms, written as POSCAR:
```
NaCuPdW
1.0
3.9443 1.9276 0.4314
0.6936 2.9010 3.2500
2.6174 -1.0663 3.3870
Cu Na Pd W
1 1 1 1
direct
0.5000 0.5000 0.5000
0.7500 0.7500 0.7500
0.2500 0.2500 0.2500
0.0000 0.0000 0.0000
```

## Properties
The space group is F-43m, No. 216. For the density, the calculation gives 10.308 Mg/m³. For the spin magnetization, the calculation gives 0.000 μB per formula unit.


The most stable arrangement is P, and the next structure is 99 meV per atom less stable.


P:
Material: NaCuPtSe3
Method: DFT, GGA-PBE
State: optimized geometry

Cell and atoms, written as POSCAR:
```
NaCuPtSe3
1.0
1.9085 -6.3892 0.0000
1.9085 6.3892 0.0000
0.0000 0.0000 10.1686
Cu Na Pt Se
2 2 2 6
direct
0.4506 0.5494 0.2500
0.5494 0.4506 0.7500
0.7546 0.2454 0.2500
0.2454 0.7546 0.7500
0.0000 0.0000 0.0000
0.0000 0.0000 0.5000
0.3692 0.6308 0.0347
0.0682 0.9318 0.2500
0.3692 0.6308 0.4653
0.6308 0.3692 0.5347
0.9318 0.0682 0.7500
0.6308 0.3692 0.9653
```

## Properties
The space group is Cmcm, No. 63. For the density, the calculation gives 6.944 Mg/m³. For the spin magnetization, the calculation gives 0.014 μB per formula unit.


Q:
Material: NaCuPtSe3
Method: DFT, GGA-PBE
State: optimized geometry

Cell and atoms, written as POSCAR:
```
NaCuPtSe3
1.0
13.4347 0.0000 0.0000
0.0000 3.8835 0.0000
0.0000 0.0000 9.8240
Cu Na Pt Se
4 4 4 12
direct
0.2991 0.2500 0.2442
0.7991 0.2500 0.2558
0.2009 0.7500 0.7442
0.7009 0.7500 0.7558
0.8457 0.7500 0.0138
0.3457 0.7500 0.4862
0.6543 0.2500 0.5138
0.1543 0.2500 0.9862
0.5414 0.7500 0.1533
0.0414 0.7500 0.3467
0.9586 0.2500 0.6533
0.4586 0.2500 0.8467
0.6041 0.2500 0.0092
0.9700 0.2500 0.2061
0.2009 0.7500 0.2090
0.7009 0.7500 0.2910
0.4700 0.2500 0.2939
0.1041 0.2500 0.4908
0.8959 0.7500 0.5092
0.5300 0.7500 0.7061
0.2991 0.2500 0.7090
0.7991 0.2500 0.7910
0.0300 0.7500 0.7939
0.3959 0.7500 0.9908
```

## Properties
The space group is Pnma, No. 62. For the density, the calculation gives 6.719 Mg/m³. For the spin magnetization, the calculation gives 0.002 μB per formula unit.


R:
Material: NaCuPtSe3
Method: DFT, GGA-PBE
State: optimized geometry

Cell and atoms, written as POSCAR:
```
NaCuPtSe3
1.0
12.7106 0.0000 0.0000
0.0000 3.8898 0.0000
0.0000 0.0000 10.4027
Cu Na Pt Se
4 4 4 12
direct
0.0098 0.2500 0.0776
0.5098 0.2500 0.4224
0.4902 0.7500 0.5776
0.9902 0.7500 0.9224
0.2148 0.7500 0.0410
0.7148 0.7500 0.4590
0.2852 0.2500 0.5410
0.7852 0.2500 0.9590
0.5087 0.7500 0.1560
0.0087 0.7500 0.3440
0.9913 0.2500 0.6560
0.4913 0.2500 0.8440
0.4025 0.2500 0.0613
0.8993 0.7500 0.1371
0.6253 0.2500 0.2313
0.1253 0.2500 0.2687
0.3993 0.7500 0.3629
0.9025 0.2500 0.4387
0.0975 0.7500 0.5613
0.6007 0.2500 0.6371
0.8747 0.7500 0.7313
0.3747 0.7500 0.7687
0.1007 0.2500 0.8629
0.5975 0.7500 0.9387
```

## Properties
The space group is Pnma, No. 62. For the density, the calculation gives 6.696 Mg/m³. For the spin magnetization, the calculation gives 0.006 μB per formula unit.


S:
Material: NaCuPtSe3
Method: DFT, GGA-PBE
State: optimized geometry

Cell and atoms, written as POSCAR:
```
NaCuPtSe3
1.0
8.9470 0.0000 0.0000
0.0000 3.9291 0.0000
0.0000 0.0000 14.7459
Cu Na Pt Se
4 4 4 12
direct
0.2494 0.7500 0.1431
0.7494 0.7500 0.3569
0.2506 0.2500 0.6431
0.7506 0.2500 0.8569
0.4660 0.2500 0.2052
0.9660 0.2500 0.2948
0.0340 0.7500 0.7052
0.5340 0.7500 0.7948
0.8450 0.7500 0.0559
0.3450 0.7500 0.4441
0.6550 0.2500 0.5559
0.1550 0.2500 0.9441
0.6793 0.2500 0.0065
0.0207 0.2500 0.0939
0.7013 0.7500 0.2052
0.2013 0.7500 0.2948
0.5207 0.2500 0.4061
0.1793 0.2500 0.4935
0.8207 0.7500 0.5065
0.4793 0.7500 0.5939
0.7987 0.2500 0.7052
0.2987 0.2500 0.7948
0.9793 0.7500 0.9061
0.3207 0.7500 0.9935
```

## Properties
The space group is Pnma, No. 62. For the density, the calculation gives 6.644 Mg/m³. For the spin magnetization, the calculation gives 0.003 μB per formula unit.


The most stable arrangement is Q, and the next structure is 24 meV per atom less stable.